Pr2Zn2Ni2C | PBE | relaxed

Calculated values
E   -34.69 eV/f.u.
Total magnetic moment   0.00 μB per cell

a b c (Å): 11.1169 4.0739 7.2084
angles (deg): 90.00 128.63 90.00
Space group C2/m (No. 12)
Symmetry-distinct sites (fractional):
Pr (0.0514, 0.0000, 0.2848)
Zn (0.1624, 0.5000, 0.7152)
Ni (0.1928, 0.5000, 0.0894)
C (0.0000, 0.5000, 0.0000)

---

CsNdAu2I6 | PBE | relaxed

Calculated values
E   -30.26 eV/f.u.
Total magnetic moment   0.00 μB per cell

a b c (Å): 7.7673 7.7724 8.3027
angles (deg): 100.32 102.47 93.31
Space group P1 (No. 1)
Symmetry-distinct sites (fractional):
Cs (0.0000, 0.0000, 0.0000)
Nd (0.5881, 0.5546, 0.5670)
Au (0.3924, 0.0186, 0.7065)
Au (0.9463, 0.5057, 0.2979)
I (0.2497, 0.6778, 0.3135)
I (0.2695, 0.2559, 0.5414)
I (0.4765, 0.7842, 0.8900)
I (0.6549, 0.2999, 0.2484)
I (0.7810, 0.8779, 0.5092)
I (0.8797, 0.4529, 0.8231)

---

VZnRe2Mo | PBE | relaxed

Calculated values
E   -36.50 eV/f.u.
Total magnetic moment   0.00 μB per cell

a b c (Å): 4.4650 4.4650 4.4585
angles (deg): 90.00 90.00 90.00
Space group P4/mmm (No. 123)
Symmetry-distinct sites (fractional):
V (0.0000, 0.0000, 0.0000)
Zn (0.5000, 0.5000, 0.5000)
Re (0.0000, 0.5000, 0.5000)
Mo (0.5000, 0.5000, 0.0000)

---

PIrO | PBE | relaxed

Calculated values
ΔE to the lowest computed polymorph   102.9 kJ/mol of atoms
Total magnetic moment   0.00 μB per cell

a b c (Å): 2.6812 2.6899 6.7275
angles (deg): 101.49 100.95 90.00
Space group P1 (No. 1)
Symmetry-distinct sites (fractional):
P (0.0000, 0.0000, 0.0000)
Ir (0.8463, 0.3425, 0.6774)
O (0.7429, 0.7341, 0.4608)

---

Ac3Cu2Pb4 | PBE | relaxed

Calculated values
ΔE to the lowest computed polymorph   0.3 kJ/mol of atoms
Total magnetic moment   0.00 μB per cell

a b c (Å): 12.2201 4.8654 9.3834
angles (deg): 90.00 104.18 90.00
Space group C2/m (No. 12)
Symmetry-distinct sites (fractional):
Ac (0.0000, 0.0000, 0.0000)
Ac (0.1272, 0.5000, 0.6889)
Cu (0.2018, 0.5000, 0.3874)
Pb (0.0894, 0.0000, 0.3890)
Pb (0.2058, 0.5000, 0.0875)

---

Sr2PrPbO4 | PBE | relaxed

Calculated values
E   -50.07 eV/f.u.
Total magnetic moment   0.63 μB per cell

a b c (Å): 6.6515 3.5545 7.0532
angles (deg): 90.00 114.91 90.00
Space group P2/m (No. 10)
Symmetry-distinct sites (fractional):
Sr (0.0000, 0.0000, 0.0000)
Sr (0.5000, 0.5000, 0.5000)
Pr (0.0000, 0.0000, 0.5000)
Pb (0.5000, 0.5000, 0.0000)
O (0.0678, 0.5000, 0.2890)
O (0.3960, 0.0000, 0.6987)

---

La3Ce2Sn2 | PBE | relaxed

Calculated values
E   -36.90 eV/f.u.
Total magnetic moment   5.35 μB per cell

a b c (Å): 4.4439 4.9830 20.6236
angles (deg): 90.00 90.00 90.00
Space group Immm (No. 71)
Symmetry-distinct sites (fractional):
La (0.0000, 0.0000, 0.0000)
La (0.0000, 0.0000, 0.2496)
Ce (0.0000, 0.5000, 0.1043)
Sn (0.0000, 0.5000, 0.3728)

---

CsLi4Ag3F12 | PBE | relaxed

Calculated values
E   -79.67 eV/f.u.
Total magnetic moment   4.02 μB per cell

a b c (Å): 8.0130 8.0130 8.0130
angles (deg): 90.00 90.00 90.00
Space group Im-3 (No. 204)
Symmetry-distinct sites (fractional):
Cs (0.0000, 0.0000, 0.0000)
Li (0.2500, 0.2500, 0.2500)
Ag (0.0000, 0.0000, 0.5000)
F (0.0000, 0.3182, 0.1863)